The following is a GGA+U calculation of an optimized crystal structure of CsMnI2F, from the Alexandria database.

Output
- Volume: 164 Å³/f.u.
- VASP energy: -4.172 eV per atom

Lattice parameters (Å, degrees): 6.213 6.213 4.237 90.00 90.00 90.00
Space group P4/mmm (No. 123)
Inequivalent atoms, fractional coordinates:
Cs: 0.000 0.000 0.000
Mn: 0.500 0.500 0.500
I: 0.000 0.500 0.500
F: 0.500 0.500 0.000